No. 1
{"formula": "Lu2HfNi", "functional": "PBE", "state": "relaxed", "delta_e_f_mev_per_atom": 216, "e_above_lowest_polymorph_mev_per_atom": 0.0, "cell": [[0.000, 3.476, 3.476], [3.476, 0.000, 3.476], [3.476, 3.476, 0.000]], "species": ["Hf", "Lu", "Lu", "Ni"], "frac_coords": [[0.500, 0.500, 0.500], [0.000, 0.000, 0.000], [0.250, 0.250, 0.250], [0.750, 0.750, 0.750]]}

---

No. 2
{"formula": "Zr4Cu3W2C3", "functional": "PBE", "state": "relaxed", "final_energy_ev_per_atom": -8.55, "cell": [[5.595, 0.000, 0.000], [2.798, 4.847, 0.000], [2.798, 1.419, 13.204]], "species": ["C", "C", "C", "C", "C", "C", "Cu", "Cu", "Cu", "Cu", "Cu", "Cu", "W", "W", "W", "W", "Zr", "Zr", "Zr", "Zr", "Zr", "Zr", "Zr", "Zr"], "frac_coords": [[0.174, 0.163, 0.000], [0.500, 0.500, 0.000], [0.826, 0.837, 0.000], [0.337, 0.337, 0.500], [0.000, 0.000, 0.500], [0.663, 0.663, 0.500], [0.417, 0.008, 0.248], [0.160, 0.750, 0.250], [0.673, 0.492, 0.252], [0.327, 0.508, 0.748], [0.840, 0.250, 0.750], [0.583, 0.992, 0.752], [0.474, 0.801, 0.075], [0.350, 0.699, 0.425], [0.650, 0.301, 0.575], [0.526, 0.199, 0.925], [0.119, 0.479, 0.105], [0.806, 0.136, 0.105], [0.047, 0.364, 0.395], [0.703, 0.021, 0.395], [0.297, 0.979, 0.605], [0.953, 0.636, 0.605], [0.194, 0.864, 0.895], [0.881, 0.521, 0.895]]}

---

| no. | total magnetic moment (μB per cell) |
| --- | --- |
| 1 | 0.0 |
| 2 | 0.0 |